Entry 1:
The following is a DFT calculation (PBE-GGA) of crystalline Zr2ReNiH at its relaxed geometry.

Results
VASP energy: -8.08 eV per atom
Space group: P4/mmm (123)
Offset from the most stable computed form: 0 meV per atom

abc: 4.5976 4.5976 3.3896
angles: 90.00 90.00 90.00
With the nearest neighbours (Å) after each atom.
Element x y z (fractional)
Re 0.5000 0.5000 0.5000  8 Zr 2.86
H 0.0000 0.0000 0.0000  2 Ni 1.69
Zr 0.0000 0.5000 0.0000  2 H 2.30
Zr 0.5000 0.0000 0.0000  2 H 2.30
Ni 0.0000 0.0000 0.5000  2 H 1.69

=====

Entry 2:
The following is a DFT calculation (PBE-GGA) of crystalline Ca2BrO at its relaxed geometry.

Results
VASP energy: -4.66 eV per atom
Space group: I-42d (122)
Uncorrected formation energy: -192.9 kJ/mol of atoms
Offset from the most stable computed form: 0 meV per atom

abc: 6.2650 6.2650 7.0138
angles: 63.47 63.47 90.00
With the nearest neighbours (Å) after each atom.
Element x y z (fractional)
Ca 0.5236 0.1250 0.2500  2 O 2.27
Ca 0.2264 0.6250 0.2500  2 O 2.27
Ca 0.3750 0.4764 0.7500  2 O 2.27
Ca 0.8750 0.7736 0.7500  2 O 2.27
O 0.5000 0.5000 0.0000  4 Ca 2.27
O 0.2500 0.7500 0.5000  4 Ca 2.27
Br 0.0000 0.0000 0.0000  4 Ca 3.02
Br 0.7500 0.2500 0.5000  4 Ca 3.02

=====

Entry 3:
The following is a DFT calculation (PBE-GGA) of crystalline Y2HfFe2 at its relaxed geometry.

Results
Energy of formation from the pure elements: 0.038 eV/atom
VASP energy: -7.92 eV per atom
Space group: P4/mbm (127)
Offset from the most stable computed form: 0 meV per atom

abc: 6.7259 6.7259 4.5354
angles: 90.00 90.00 90.00
With the nearest neighbours (Å) after each atom.
Element x y z (fractional)
Y 0.1779 0.6779 0.5000  6 Fe 3.01-3.03, 4 Hf 3.36
Y 0.6779 0.8221 0.5000  6 Fe 3.01-3.03, 4 Hf 3.36
Y 0.8221 0.3221 0.5000  6 Fe 3.01-3.03, 4 Hf 3.36
Y 0.3221 0.1779 0.5000  6 Fe 3.01-3.03, 4 Hf 3.36
Hf 0.0000 0.0000 0.0000  4 Fe 2.70
Hf 0.5000 0.5000 0.0000  4 Fe 2.70
Fe 0.3853 0.8853 0.0000  1 Fe 2.18
Fe 0.8853 0.6147 0.0000  1 Fe 2.18
Fe 0.6147 0.1147 0.0000  1 Fe 2.18
Fe 0.1147 0.3853 0.0000  1 Fe 2.18

=====

Entry 4:
The following is a DFT calculation (PBE-GGA) of crystalline K3BiMo at its relaxed geometry.

Results
Energy of formation from the pure elements: 0.945 eV/atom
VASP energy: -2.66 eV per atom
Space group: Pm-3m (221)
Offset from the most stable computed form: 0 meV per atom

abc: 6.8113 6.8113 6.8113
angles: 90.00 90.00 90.00
With the nearest neighbours (Å) after each atom.
Element x y z (fractional)
K 0.0000 0.5000 0.0000  2 Bi 3.41
K 0.0000 0.0000 0.5000  2 Bi 3.41
K 0.5000 0.0000 0.0000  2 Bi 3.41
Mo 0.5000 0.5000 0.5000  12 K 4.82
Bi 0.0000 0.0000 0.0000  6 K 3.41

=====

Entry 5:
The following is a DFT calculation (PBE-GGA) of crystalline CrIrOs2 at its relaxed geometry.

Results
Energy of formation from the pure elements: 0.007 eV/atom
VASP energy: -10.23 eV per atom
Space group: P2/m (10)
Offset from the most stable computed form: 29 meV per atom

abc: 2.7036 4.6719 5.4039
angles: 54.54 90.00 90.00
With the nearest neighbours (Å) after each atom.
Element x y z (fractional)
Cr 0.5000 0.5000 0.5000  6 Os 2.69-2.70, 4 Ir 2.70, 2 Cr 2.70
Ir 0.0000 0.0000 0.5000  6 Os 2.69-2.70, 4 Cr 2.70, 2 Ir 2.70
Os 0.0000 0.0000 0.0000  4 Cr 2.69, 6 Os 2.70, 2 Ir 2.70
Os 0.5000 0.5000 0.0000  4 Ir 2.69, 6 Os 2.70, 2 Cr 2.70

=====

Entry 6:
The following is a DFT calculation (PBE-GGA) of crystalline NdDy2N at its relaxed geometry.

Results
VASP energy: -6.27 eV per atom
Space group: R-3m (166)
Uncorrected formation energy: -67.3 kJ/mol of atoms
Offset from the most stable computed form: 0 meV per atom

abc: 3.4612 3.4612 9.8288
angles: 79.86 79.86 60.00
With the nearest neighbours (Å) after each atom.
Element x y z (fractional)
N 0.5000 0.5000 0.5000  6 Dy 2.40
Nd 0.0000 0.0000 0.0000  6 Nd 3.46, 2 Dy 3.48
Dy 0.1207 0.1207 0.6379  3 N 2.40
Dy 0.8793 0.8793 0.3621  3 N 2.40

=====

Entry 7:
The following is a DFT calculation (PBE-GGA) of crystalline ZnIn2Cl at its relaxed geometry.

Results
VASP energy: -2.41 eV per atom
Space group: P4mm (99)
Uncorrected formation energy: -24.9 kJ/mol of atoms
Offset from the most stable computed form: 3 meV per atom

abc: 4.2415 4.2415 5.8790
angles: 90.00 90.00 90.00
With the nearest neighbours (Å) after each atom.
Element x y z (fractional)
Cl 0.5000 0.5000 0.8742  6 In 2.94-3.00
In 0.0000 0.0000 0.8756  2 Zn 2.94, 4 Cl 3.00
In 0.5000 0.5000 0.3744  2 Cl 2.94, 4 Zn 3.00
Zn 0.0000 0.0000 0.3758  6 In 2.94-3.00

=====

Entry 8:
The following is a DFT calculation (PBE-GGA) of crystalline TlZn2Mo at its relaxed geometry.

Results
Energy of formation from the pure elements: 0.381 eV/atom
VASP energy: -3.56 eV per atom
Space group: P2/m (10)
Offset from the most stable computed form: 56 meV per atom

abc: 3.9425 3.0026 6.6984
angles: 63.49 90.00 90.00
With the nearest neighbours (Å) after each atom.
Element x y z (fractional)
Mo 0.5000 0.2500 0.2500  8 Zn 2.78, 2 Tl 3.00, 2 Mo 3.00
Tl 0.5000 0.7500 0.7500  2 Mo 3.00, 2 Tl 3.00, 8 Zn 3.02-3.03
Zn 0.0000 0.9591 0.0402  1 Zn 2.52, 4 Mo 2.78
Zn 0.0000 0.5409 0.4598  1 Zn 2.52, 4 Mo 2.78

=====

> Which of these has the highest VASP energy?

ZnIn2Cl

=====

> The lowest VASP energy belongs to which entry?

CrIrOs2

=====

> Number 2 is which compound?

Ca2BrO

=====

> Which of these has the highest offset from the most stable computed form?

TlZn2Mo